Record 1
The following is a DFT calculation (PBE-GGA) of DyErCu2B2N2 after structural relaxation.

```
data_DyErCu2B2N2
_chemical_formula_sum 'Dy1 Er1 Cu2 B2 N2'
_cell_length_a 3.486
_cell_length_b 3.486
_cell_length_c 7.685
_cell_angle_alpha 90.00
_cell_angle_beta 90.00
_cell_angle_gamma 90.00
_space_group_name_H-M_alt 'P 4 m m'
_space_group_IT_number 99
loop_
_space_group_symop_operation_xyz
'x,y,z'
'-y,x,z'
'-x,-y,z'
'y,-x,z'
'-x,y,z'
'y,x,z'
'x,-y,z'
'-y,-x,z'
loop_
_atom_site_label
_atom_site_type_symbol
_atom_site_fract_x
_atom_site_fract_y
_atom_site_fract_z
_atom_site_occupancy
Dy1 Dy 0.000 0.000 0.000 1
Er1 Er 0.500 0.500 0.671 1
Cu1 Cu 0.000 0.500 0.335 1
B1 B 0.000 0.000 0.509 1
B2 B 0.500 0.500 0.160 1
N1 N 0.000 0.000 0.697 1
N2 N 0.500 0.500 0.971 1
```

***

Record 2
The following is a DFT calculation (PBE-GGA) of Gd2DyCu2B2N3 after structural relaxation.

```
data_Gd2DyCu2B2N3
_chemical_formula_sum 'Gd4 Dy2 Cu4 B4 N6'
_cell_length_a 3.515
_cell_length_b 3.515
_cell_length_c 20.442
_cell_angle_alpha 90.00
_cell_angle_beta 90.00
_cell_angle_gamma 90.00
_space_group_name_H-M_alt 'I 4/m m m'
_space_group_IT_number 139
_space_group_name_Hall '-I 4 2'
loop_
_atom_site_label
_atom_site_type_symbol
_atom_site_fract_x
_atom_site_fract_y
_atom_site_fract_z
_atom_site_occupancy
Gd1 Gd 0.000 0.000 0.121 1
Dy1 Dy 0.000 0.000 0.500 1
Cu1 Cu 0.000 0.500 0.250 1
B1 B 0.000 0.000 0.316 1
N1 N 0.000 0.000 0.000 1
N2 N 0.000 0.000 0.386 1
```

***

Record 3
The following is a DFT calculation (PBE-GGA) of Sm2DyCu2B2N3 after structural relaxation.

```
data_Sm2DyCu2B2N3
_chemical_formula_sum 'Sm4 Dy2 Cu4 B4 N6'
_cell_length_a 3.553
_cell_length_b 3.553
_cell_length_c 20.467
_cell_angle_alpha 90.00
_cell_angle_beta 90.00
_cell_angle_gamma 90.00
_space_group_name_H-M_alt 'I 4/m m m'
_space_group_IT_number 139
_space_group_name_Hall '-I 4 2'
loop_
_atom_site_label
_atom_site_type_symbol
_atom_site_fract_x
_atom_site_fract_y
_atom_site_fract_z
_atom_site_occupancy
Sm1 Sm 0.000 0.000 0.122 1
Dy1 Dy 0.000 0.000 0.500 1
Cu1 Cu 0.000 0.500 0.250 1
B1 B 0.000 0.000 0.315 1
N1 N 0.000 0.000 0.000 1
N2 N 0.000 0.000 0.385 1
```

***

Record 4
The following is a DFT calculation (PBE-GGA) of TbDy2Cu2B2N3 after structural relaxation.

```
data_TbDy2Cu2B2N3
_chemical_formula_sum 'Tb2 Dy4 Cu4 B4 N6'
_cell_length_a 3.491
_cell_length_b 3.491
_cell_length_c 20.443
_cell_angle_alpha 90.00
_cell_angle_beta 90.00
_cell_angle_gamma 90.00
_space_group_name_H-M_alt 'I 4/m m m'
_space_group_IT_number 139
_space_group_name_Hall '-I 4 2'
loop_
_atom_site_label
_atom_site_type_symbol
_atom_site_fract_x
_atom_site_fract_y
_atom_site_fract_z
_atom_site_occupancy
Tb1 Tb 0.000 0.000 0.000 1
Dy1 Dy 0.000 0.000 0.379 1
Cu1 Cu 0.000 0.500 0.250 1
B1 B 0.000 0.000 0.185 1
N1 N 0.000 0.000 0.114 1
N2 N 0.000 0.000 0.500 1
```

***

| no. | density (g/cm3) | energy (eV/cell) |
| --- | --- | --- |
| 1 | 9.0 | -53.82 |
| 2 | 8.8 | -140.27 |
| 3 | 8.4 | -139.73 |
| 4 | 9.0 | -140.29 |